AlVRe2 after structural relaxation, computed with PBE-GGA.

abc: 3.035 3.035 6.178
angles: 90.00 90.00 90.00
Fractional positions:
1 Re 0.000 0.000 0.758
2 Re 0.000 0.000 0.242
3 Al 0.500 0.500 0.500
4 V 0.500 0.500 0.000

Output
As for the space group: No. 123. The value obtained for the formation energy is -0.199 eV/atom.

***

PuUS2 after structural relaxation, computed with PBE-GGA.

abc: 3.787 3.787 7.303
angles: 74.98 74.98 60.00
Fractional positions:
1 Pu 0.670 0.670 0.989
2 U 0.497 0.497 0.510
3 S 0.082 0.082 0.754
4 S 0.251 0.251 0.247

Output
As for the space group: No. 160. The energy above the lowest structure with this stoichiometry is 0.137 eV/atom. The value obtained for the formation energy without anion corrections is -1412.6 meV per atom.

***

Nd2TmPd after structural relaxation, computed with PBE-GGA.

abc: 3.709 3.709 8.289
angles: 90.00 90.00 90.00
Fractional positions:
1 Tm 0.500 0.500 0.500
2 Nd 0.000 0.000 0.793
3 Nd 0.000 0.000 0.207
4 Pd 0.500 0.500 0.000

Output
As for the space group: No. 123. The value obtained for the formation energy is -0.315 eV/atom. The energy above the lowest structure with this stoichiometry is 0.081 eV/atom.

***

AlTl3Rh after structural relaxation, computed with PBE-GGA.

abc: 5.259 5.259 5.259
angles: 90.00 90.00 90.00
Fractional positions:
1 Tl 0.000 0.500 0.000
2 Tl 0.000 0.000 0.500
3 Tl 0.500 0.000 0.000
4 Rh 0.000 0.000 0.000
5 Al 0.500 0.500 0.500

Output
As for the space group: No. 221. The value obtained for the formation energy is 0.297 eV/atom. The energy above the lowest structure with this stoichiometry is 0.000 eV/atom.

***

LiCd2Ag7 after structural relaxation, computed with PBE-GGA.

abc: 4.434 8.071 8.071
angles: 123.80 90.00 90.00
Fractional positions:
1 Li 0.000 0.000 0.000
2 Cd 0.500 0.700 0.300
3 Cd 0.500 0.300 0.700
4 Ag 0.000 0.816 0.184
5 Ag 0.000 0.184 0.816
6 Ag 0.500 0.081 0.282
7 Ag 0.500 0.919 0.718
8 Ag 0.500 0.282 0.081
9 Ag 0.500 0.718 0.919
10 Ag 0.500 0.500 0.500

Output
As for the space group: No. 65. The value obtained for the formation energy is 0.188 eV/atom. The energy above the lowest structure with this stoichiometry is 0.262 eV/atom.

***

Dy3Y6Er2Zr after structural relaxation, computed with PBE-GGA.

abc: 6.090 6.090 11.650
angles: 94.97 94.97 119.91
Fractional positions:
1 Dy 0.167 0.833 0.500
2 Dy 0.833 0.167 0.500
3 Dy 0.500 0.500 0.500
4 Y 0.919 0.591 0.756
5 Y 0.754 0.754 0.244
6 Y 0.081 0.409 0.244
7 Y 0.591 0.919 0.756
8 Y 0.246 0.246 0.756
9 Y 0.409 0.081 0.244
10 Er 0.333 0.667 0.000
11 Er 0.667 0.333 0.000
12 Zr 0.000 0.000 0.000

Output
As for the space group: No. 12. The value obtained for the formation energy is 0.049 eV/atom.

***

Repeat the fifth record exactly.
LiCd2Ag7 after structural relaxation, computed with PBE-GGA.

abc: 4.434 8.071 8.071
angles: 123.80 90.00 90.00
Fractional positions:
1 Li 0.000 0.000 0.000
2 Cd 0.500 0.700 0.300
3 Cd 0.500 0.300 0.700
4 Ag 0.000 0.816 0.184
5 Ag 0.000 0.184 0.816
6 Ag 0.500 0.081 0.282
7 Ag 0.500 0.919 0.718
8 Ag 0.500 0.282 0.081
9 Ag 0.500 0.718 0.919
10 Ag 0.500 0.500 0.500

Output
As for the space group: No. 65. The value obtained for the formation energy is 0.188 eV/atom. The energy above the lowest structure with this stoichiometry is 0.262 eV/atom.